Compound: K2CaFeF6
Source: the Alexandria database
Functional: PBE+U
Structure: optimized geometry

Mass density = 3.0 g/cm³
Total DFT energy (no corrections) = -0.189 hartree per atom
Total magnetic moment = 4.000 Bohr magnetons per cell

Cell lengths 6.1017, 6.1026, 6.1012 Å; angles 60.56, 60.56, 90.96 degrees
Closest atoms and distances in Å follow each position.
Sites, in units of the cell vectors:
F: 0.2569 0.7440 0.0000  1 Fe 2.12, 1 Ca 2.23
F: 0.7431 0.2560 0.0000  1 Fe 2.12, 1 Ca 2.23
F: 0.2615 0.2623 0.9997  1 Fe 2.04, 1 Ca 2.24
F: 0.2562 0.2562 0.4872  1 Fe 2.12, 1 Ca 2.23
F: 0.7385 0.7377 0.0003  1 Fe 2.04, 1 Ca 2.24
F: 0.7438 0.7438 0.5128  1 Fe 2.12, 1 Ca 2.23
K: 0.2500 0.7500 0.5000  12 F 3.05-3.08
K: 0.7500 0.2500 0.5000  12 F 3.05-3.08
Ca: 0.0000 0.0000 0.0000  6 F 2.23-2.24
Fe: 0.5000 0.5000 0.0000  6 F 2.04-2.12